Material: NaTiAgTe3
Method: DFT, PBE
State: optimized geometry

Cell lengths 8.2707, 4.0146, 10.2802 Å; angles 90.00, 107.57, 90.00 degrees
Space group P2_1/m (No. 11)
Asymmetric unit:
Na 0.2439 0.2500 0.2860 x2
Ti 0.3038 0.7500 0.8276 x2
Ag 0.0707 0.2500 0.6035 x2
Te 0.0882 0.2500 0.8731 x2
Te 0.2923 0.7500 0.5584 x2
Te 0.4379 0.7500 0.1237 x2

Computed properties:
* formation energy from raw total energies: -0.593 eV per atom
* D(E_F): 1.95 states/eV per cell
* calculated density: 5.73 Mg/m³